1.
This record from Alexandria describes a relaxed ThTeRh crystal. The functional is PBE-GGA.

Calculated values
Raw total energy: -41.1 eV per cell
Crystal system: triclinic
Space-group type: P1 (1)
ΔE_f (raw): -882 meV/atom

Lattice parameters (Å, degrees): 4.3622 4.3682 11.4850 101.23 101.85 59.96
With the nearest neighbours (Å) after each atom.
Element x y z (fractional)
Rh  0.2476  0.3797  0.2166  3 Rh 2.52
Rh  0.9148  0.0461  0.2166  3 Rh 2.52
Th  0.6431  0.7708  0.3898  3 Te 3.16, 6 Rh 3.16-3.19
Th  0.5120  0.6589  0.0435  3 Te 3.16, 6 Rh 3.16-3.19
Te  0.0403  0.1595  0.5604  3 Th 3.16
Te  0.7800  0.9374  0.8728  3 Th 3.16

2.
This record from Alexandria describes a relaxed Th3Te2Rh crystal. The functional is PBE-GGA.

Calculated values
Density of states at the Fermi level: 7.05 states/eV per cell
Raw total energy: -84.3 eV per cell
Crystal system: monoclinic
Space-group type: C2/m (12)
ΔE_f (raw): -1046 meV/atom

Lattice parameters (Å, degrees): 7.5285 7.5285 7.8388 99.30 99.30 119.76
With the nearest neighbours (Å) after each atom.
Element x y z (fractional)
Th  0.6272  0.9605  0.7904  2 Rh 2.87, 2 Te 3.15-3.16
Th  0.0395  0.3728  0.2096  2 Rh 2.87, 2 Te 3.15-3.16
Th  0.8961  0.5946  0.7852  2 Rh 2.87-2.88, 2 Te 3.18-3.21
Th  0.2613  0.2294  0.7852  2 Rh 2.87-2.88, 2 Te 3.18-3.21
Th  0.4054  0.1039  0.2148  2 Rh 2.87-2.88, 2 Te 3.18-3.21
Th  0.7706  0.7387  0.2148  2 Rh 2.87-2.88, 2 Te 3.18-3.21
Te  0.8333  0.1667  0.5000  6 Th 3.15-3.38
Te  0.3333  0.6667  0.0000  6 Th 3.16-3.18
Te  0.1800  0.8200  0.5000  6 Th 3.21-3.41
Te  0.4866  0.5134  0.5000  6 Th 3.21-3.41
Rh  0.0011  0.9989  0.0000  6 Th 2.87-2.88
Rh  0.6655  0.3345  0.0000  6 Th 2.87-2.88

3.
This record from Alexandria describes a relaxed ThTeRh crystal. The functional is PBE-GGA.

Calculated values
Density of states at the Fermi level: 5.39 states/eV per cell
Raw total energy: -41.1 eV per cell
Crystal system: monoclinic
Space-group type: P2_1/m (11)
ΔE_f (raw): -880 meV/atom

Lattice parameters (Å, degrees): 4.5587 5.2978 6.7373 90.00 85.90 90.00
With the nearest neighbours (Å) after each atom.
Element x y z (fractional)
Th  0.8154  0.2500  0.3194  3 Rh 2.73-2.98
Th  0.1846  0.7500  0.6806  3 Rh 2.73-2.98
Te  0.7665  0.2500  0.8326  2 Rh 2.65-2.75
Te  0.2335  0.7500  0.1674  2 Rh 2.65-2.75
Rh  0.3014  0.2500  0.6175  2 Te 2.65-2.75, 2 Th 2.73
Rh  0.6986  0.7500  0.3825  2 Te 2.65-2.75, 2 Th 2.73

4.
This record from Alexandria describes a relaxed Th6Te5Rh crystal. The functional is PBE-GGA.

Calculated values
Density of states at the Fermi level: 10.35 states/eV per cell
Raw total energy: -80.0 eV per cell
Crystal system: monoclinic
Space-group type: C2/m (12)
ΔE_f (raw): -1036 meV/atom

Lattice parameters (Å, degrees): 7.5976 8.8966 7.7173 107.50 99.76 124.06
With the nearest neighbours (Å) after each atom.
Element x y z (fractional)
Te  0.3110  0.8110  0.6220  6 Th 3.18-3.26
Te  0.6581  0.6581  0.3163  6 Th 3.18-3.23
Te  0.0000  0.5000  0.0000  6 Th 3.17-3.33
Te  0.3419  0.3419  0.6837  6 Th 3.18-3.23
Te  0.6890  0.1890  0.3780  6 Th 3.18-3.26
Rh  0.0000  0.0000  0.0000  6 Th 2.82-2.98
Th  0.1486  0.3726  0.3006  1 Rh 2.82
Th  0.1520  0.9280  0.3006  1 Rh 2.82
Th  0.4728  0.2120  0.0000  1 Rh 2.98, 5 Te 3.22-3.33
Th  0.5272  0.7880  0.0000  1 Rh 2.98, 5 Te 3.22-3.33
Th  0.8480  0.0720  0.6994  1 Rh 2.82
Th  0.8514  0.6274  0.6994  1 Rh 2.82

5.
This record from Alexandria describes a relaxed ThTeRh crystal. The functional is PBE-GGA.

Calculated values
Density of states at the Fermi level: 1.74 states/eV per cell
Raw total energy: -20.9 eV per cell
Crystal system: trigonal
Space-group type: P3m1 (156)
ΔE_f (raw): -1006 meV/atom

Lattice parameters (Å, degrees): 4.0749 4.4952 4.4952 120.00 90.00 90.00
With the nearest neighbours (Å) after each atom.
Element x y z (fractional)
Te  0.1250  0.0000  0.0000  3 Rh 2.63
Rh  0.2353  0.6667  0.3333  3 Te 2.63
Th  0.6397  0.3333  0.6667  3 Rh 3.07, 6 Te 3.26-3.34

6.
This record from Alexandria describes a relaxed ThTeRh crystal. The functional is PBE-GGA.

Calculated values
Density of states at the Fermi level: 5.51 states/eV per cell
Raw total energy: -83.8 eV per cell
Crystal system: orthorhombic
Space-group type: Pnma (62)
ΔE_f (raw): -1010 meV/atom

Lattice parameters (Å, degrees): 4.4582 6.7313 10.3802 90.00 90.00 90.00
With the nearest neighbours (Å) after each atom.
Element x y z (fractional)
Th  0.7500  0.6859  0.3961  4 Rh 2.87-2.92
Th  0.2500  0.1859  0.1039  4 Rh 2.87-2.92
Th  0.2500  0.3141  0.6039  4 Rh 2.87-2.92
Th  0.7500  0.8141  0.8961  4 Rh 2.87-2.92
Te  0.7500  0.3170  0.8660  3 Rh 2.74-2.77
Te  0.2500  0.8170  0.6340  3 Rh 2.74-2.77
Te  0.2500  0.6830  0.1340  3 Rh 2.74-2.77
Te  0.7500  0.1830  0.3660  3 Rh 2.74-2.77
Rh  0.7500  0.9223  0.1632  3 Te 2.74-2.77, 4 Th 2.87-2.92
Rh  0.2500  0.4223  0.3368  3 Te 2.74-2.77, 4 Th 2.87-2.92
Rh  0.2500  0.0777  0.8368  3 Te 2.74-2.77, 4 Th 2.87-2.92
Rh  0.7500  0.5777  0.6632  3 Te 2.74-2.77, 4 Th 2.87-2.92

Values for size of the total moment, μB per formula unit, ordered as above
0.0, 0.0, 0.0, 0.0, 0.0, 0.0